First-principles (PBE) data for a geometry-optimized UTl2O4 structure, as listed in Alexandria.

Calculated values
As for the formation energy from raw total energies: -2.125 eV per atom.

Cell lengths 4.373, 4.373, 14.194 Å; angles 90.00, 90.00, 90.00 degrees
Space group I4/mmm (No. 139)
Inequivalent atoms, fractional coordinates:
U (0.000, 0.000, 0.000)
Tl (0.000, 0.000, 0.346)
O (0.000, 0.000, 0.137)
O (0.000, 0.500, 0.000)